No. 1
Dy4Mg5Sn6: optimized geometry, PBE-GGA.

Output
**Formation energy**: -45.6 kJ per mole of atoms

Cell: 4.6559 10.6027 16.3886 Å, 90.00 90.00 102.68°
With the nearest neighbours (Å) after each atom.
Sites, in units of the cell vectors:
Mg  0.6956  0.3912  0.1189  4 Sn 2.84-2.91, 2 Mg 2.99-3.07
Mg  0.3044  0.6088  0.6189  4 Sn 2.84-2.91, 2 Mg 2.99-3.07
Mg  0.6605  0.3210  0.7739  4 Sn 2.83-3.01
Mg  0.4407  0.8814  0.6801  4 Sn 2.77-2.85, 1 Mg 2.99
Mg  0.8438  0.6876  0.1262  4 Sn 2.92-2.94, 1 Mg 3.07
Mg  0.3395  0.6790  0.2739  4 Sn 2.83-3.01
Mg  0.5593  0.1186  0.1801  4 Sn 2.77-2.85, 1 Mg 2.99
Mg  0.3465  0.6930  0.9820  4 Sn 2.82-2.97
Mg  0.1562  0.3124  0.6262  4 Sn 2.92-2.94, 1 Mg 3.07
Mg  0.6535  0.3070  0.4820  4 Sn 2.82-2.97
Dy  0.9850  0.9701  0.0023  7 Sn 3.21-3.48, 1 Mg 3.56
Dy  0.0339  0.0678  0.7685  6 Sn 3.33-3.43, 5 Mg 3.35-3.51
Dy  0.1603  0.3206  0.3019  6 Sn 3.16-3.25
Dy  0.0150  0.0299  0.5023  7 Sn 3.21-3.48, 1 Mg 3.56
Dy  0.9661  0.9322  0.2685  6 Sn 3.33-3.43, 5 Mg 3.35-3.51
Dy  0.8397  0.6794  0.8019  6 Sn 3.16-3.25
Dy  0.1723  0.3446  0.9422  6 Sn 3.12-3.16
Dy  0.8277  0.6554  0.4422  6 Sn 3.12-3.16
Sn  0.1112  0.2224  0.1163  4 Mg 2.77-2.91
Sn  0.4408  0.8816  0.8543  2 Mg 2.85-2.86, 1 Sn 2.88
Sn  0.5704  0.1407  0.6296  5 Mg 2.81-3.01
Sn  0.4286  0.8571  0.4148  1 Sn 2.88, 1 Mg 2.96, 2 Dy 3.16
Sn  0.7615  0.5229  0.2713  4 Mg 2.83-2.92, 3 Dy 3.12-3.17
Sn  0.2302  0.4604  0.4732  4 Mg 2.82-2.94, 3 Dy 3.12-3.16
Sn  0.5714  0.1429  0.9148  1 Sn 2.88, 1 Mg 2.96, 2 Dy 3.16
Sn  0.5592  0.1184  0.3543  2 Mg 2.85-2.86, 1 Sn 2.88
Sn  0.7698  0.5396  0.9732  4 Mg 2.82-2.94, 3 Dy 3.12-3.16
Sn  0.2385  0.4771  0.7713  4 Mg 2.83-2.92, 3 Dy 3.12-3.17
Sn  0.8888  0.7776  0.6163  4 Mg 2.77-2.91
Sn  0.4296  0.8593  0.1296  5 Mg 2.81-3.01

=====

No. 2
LaMn2Sb: optimized geometry, PBE-GGA.

Output
**ΔE_f (raw)**: 0.29 eV/atom

Cell: 5.8269 5.8269 3.3128 Å, 74.55 74.55 114.03°
With the nearest neighbours (Å) after each atom.
Sites, in units of the cell vectors:
Mn  0.5000  0.5000  0.0000  2 Sb 2.94, 2 La 2.94, 4 Mn 3.17-3.28
Mn  0.0000  0.0000  0.0000  2 La 2.94, 2 Sb 2.94, 4 Mn 3.17-3.28
La  0.0000  0.5000  0.5000  4 Mn 2.94, 4 Sb 3.17-3.28
Sb  0.5000  0.0000  0.5000  4 Mn 2.94, 4 La 3.17-3.28

=====

No. 3
Ga2Pd7Au: optimized geometry, PBE-GGA.

Output
**Energy above the lowest structure with this stoichiometry**: 0 meV per atom
**Formation energy**: -31.6 kJ per mole of atoms

Cell: 4.0909 4.0909 10.2832 Å, 101.47 101.47 90.00°
With the nearest neighbours (Å) after each atom.
Sites, in units of the cell vectors:
Au  0.0000  0.0000  0.0000  12 Pd 2.85-2.89
Pd  0.2500  0.7500  0.5000  4 Ga 2.53
Pd  0.1004  0.6004  0.2008  2 Ga 2.51
Pd  0.8996  0.3996  0.7992  2 Ga 2.51
Pd  0.6004  0.1004  0.2008  2 Ga 2.51
Pd  0.5000  0.5000  0.0000  8 Pd 2.85, 4 Au 2.89
Pd  0.3996  0.8996  0.7992  2 Ga 2.51
Pd  0.7500  0.2500  0.5000  4 Ga 2.53
Ga  0.6742  0.6742  0.3484  8 Pd 2.51-2.53
Ga  0.3258  0.3258  0.6516  8 Pd 2.51-2.53

=====

Results for V: 789.3; 89.6; 165.1 (in Å³/cell, following the order of the records).
Results for DOS at the Fermi energy: 4.0; 4.4; 6.6 (in states/eV per cell, following the order of the records).